Cu2NiGeO4 PBE with a Hubbard U relaxed; final energy = -5.286 eV/atom; total magnetization = 0.27 μB/atom
1.0
0.000 3.285 4.675
3.122 0.000 4.675
3.122 3.285 0.000
Cu Ni Ge O
2 1 1 4
direct
0.000 0.000 0.500 Cu
0.500 0.500 0.000 Cu
0.274 0.274 0.726 Ni
0.742 0.742 0.258 Ge
0.074 0.632 0.368 O
0.395 0.881 0.605 O
0.632 0.074 0.926 O
0.881 0.395 0.119 O